## Pa2InC (PBE)

Data for a relaxed structure of Pa2InC.

Relative energy among the computed polymorphs, meV per atom: 292
Formation energy from the elements, eV/f.u.: 0.02
Symmetry: No. 123

Geometry as CIF:
```
data_Pa2InC
_chemical_formula_sum 'Pa2 In1 C1'
_space_group_name_H-M_alt 'P 1'
_space_group_IT_number 1
_space_group_name_Hall 'P 1'
_cell_length_a 3.115
_cell_length_b 3.115
_cell_length_c 8.006
_cell_angle_alpha 90.00
_cell_angle_beta 90.00
_cell_angle_gamma 90.00
loop_
_atom_site_label
_atom_site_type_symbol
_atom_site_fract_x
_atom_site_fract_y
_atom_site_fract_z
_atom_site_occupancy
C1 C 0.500 0.500 0.000 1
Pa1 Pa 0.000 0.000 0.821 1
Pa2 Pa 0.000 0.000 0.179 1
In1 In 0.500 0.500 0.500 1
```

## Np2GaMo (PBE)

Data for a relaxed structure of Np2GaMo.

Formation energy from the elements, eV/f.u.: 1.62
Symmetry: No. 225

Geometry as CIF:
```
data_Np2GaMo
_chemical_formula_sum 'Np2 Ga1 Mo1'
_space_group_name_H-M_alt 'P 1'
_space_group_IT_number 1
_space_group_name_Hall 'P 1'
_cell_length_a 4.882
_cell_length_b 4.882
_cell_length_c 4.884
_cell_angle_alpha 60.01
_cell_angle_beta 60.01
_cell_angle_gamma 60.00
loop_
_atom_site_label
_atom_site_type_symbol
_atom_site_fract_x
_atom_site_fract_y
_atom_site_fract_z
_atom_site_occupancy
Np1 Np 0.250 0.250 0.250 1
Np2 Np 0.750 0.750 0.750 1
Mo1 Mo 0.500 0.500 0.500 1
Ga1 Ga 0.000 0.000 0.000 1
```

## GaCo3S (PBE)

Data for a relaxed structure of GaCo3S.

Relative energy among the computed polymorphs, meV per atom: 0
Symmetry: No. 221
Formation energy without anion corrections, meV/atom: 184

Geometry as CIF:
```
data_GaCo3S
_chemical_formula_sum 'Ga1 Co3 S1'
_space_group_name_H-M_alt 'P 1'
_space_group_IT_number 1
_space_group_name_Hall 'P 1'
_cell_length_a 4.088
_cell_length_b 4.088
_cell_length_c 4.088
_cell_angle_alpha 90.00
_cell_angle_beta 90.00
_cell_angle_gamma 90.00
loop_
_atom_site_label
_atom_site_type_symbol
_atom_site_fract_x
_atom_site_fract_y
_atom_site_fract_z
_atom_site_occupancy
S1 S 0.000 0.000 0.000 1
Co1 Co 0.000 0.500 0.000 1
Co2 Co 0.000 0.000 0.500 1
Co3 Co 0.500 0.000 0.000 1
Ga1 Ga 0.500 0.500 0.500 1
```

## Ta2FeRuCl (PBE)

Data for a relaxed structure of Ta2FeRuCl.

Symmetry: No. 123
Formation energy without anion corrections, meV/atom: 1120

Geometry as CIF:
```
data_Ta2FeRuCl
_chemical_formula_sum 'Ta2 Fe1 Ru1 Cl1'
_space_group_name_H-M_alt 'P 1'
_space_group_IT_number 1
_space_group_name_Hall 'P 1'
_cell_length_a 4.655
_cell_length_b 4.411
_cell_length_c 4.655
_cell_angle_alpha 90.00
_cell_angle_beta 90.00
_cell_angle_gamma 90.00
loop_
_atom_site_label
_atom_site_type_symbol
_atom_site_fract_x
_atom_site_fract_y
_atom_site_fract_z
_atom_site_occupancy
Ru1 Ru 0.000 0.500 0.000 1
Cl1 Cl 0.500 0.500 0.500 1
Fe1 Fe 0.000 0.000 0.000 1
Ta1 Ta 0.000 0.000 0.500 1
Ta2 Ta 0.500 0.000 0.000 1
```

## NdSc2Ga (PBE)

Data for a relaxed structure of NdSc2Ga.

Relative energy among the computed polymorphs, meV per atom: 217
Formation energy from the elements, eV/f.u.: -0.28
Symmetry: No. 166

Geometry as CIF:
```
data_NdSc2Ga
_chemical_formula_sum 'Nd1 Sc2 Ga1'
_space_group_name_H-M_alt 'P 1'
_space_group_IT_number 1
_space_group_name_Hall 'P 1'
_cell_length_a 4.811
_cell_length_b 4.811
_cell_length_c 5.699
_cell_angle_alpha 65.03
_cell_angle_beta 65.03
_cell_angle_gamma 60.00
loop_
_atom_site_label
_atom_site_type_symbol
_atom_site_fract_x
_atom_site_fract_y
_atom_site_fract_z
_atom_site_occupancy
Sc1 Sc 0.277 0.277 0.168 1
Sc2 Sc 0.723 0.723 0.832 1
Nd1 Nd 0.500 0.500 0.500 1
Ga1 Ga 0.000 0.000 0.000 1
```

## BaAs3Pb (PBE)

Data for a relaxed structure of BaAs3Pb.

Relative energy among the computed polymorphs, meV per atom: 731
Formation energy from the elements, eV/f.u.: 4.44
Symmetry: No. 221

Geometry as CIF:
```
data_BaAs3Pb
_chemical_formula_sum 'Ba1 As3 Pb1'
_space_group_name_H-M_alt 'P 1'
_space_group_IT_number 1
_space_group_name_Hall 'P 1'
_cell_length_a 5.764
_cell_length_b 5.764
_cell_length_c 5.764
_cell_angle_alpha 90.00
_cell_angle_beta 90.00
_cell_angle_gamma 90.00
loop_
_atom_site_label
_atom_site_type_symbol
_atom_site_fract_x
_atom_site_fract_y
_atom_site_fract_z
_atom_site_occupancy
Pb1 Pb 0.500 0.500 0.500 1
As1 As 0.000 0.500 0.000 1
As2 As 0.000 0.000 0.500 1
As3 As 0.500 0.000 0.000 1
Ba1 Ba 0.000 0.000 0.000 1
```

## BaNa4Pb15 (PBE)

Data for a relaxed structure of BaNa4Pb15.

Formation energy from the elements, eV/f.u.: -3.08
Symmetry: No. 123

Geometry as CIF:
```
data_BaNa4Pb15
_chemical_formula_sum 'Ba1 Na4 Pb15'
_space_group_name_H-M_alt 'P 1'
_space_group_IT_number 1
_space_group_name_Hall 'P 1'
_cell_length_a 5.036
_cell_length_b 5.036
_cell_length_c 24.275
_cell_angle_alpha 90.00
_cell_angle_beta 90.00
_cell_angle_gamma 90.00
loop_
_atom_site_label
_atom_site_type_symbol
_atom_site_fract_x
_atom_site_fract_y
_atom_site_fract_z
_atom_site_occupancy
Ba1 Ba 0.000 0.000 0.000 1
Na1 Na 0.000 0.000 0.204 1
Na2 Na 0.000 0.000 0.402 1
Na3 Na 0.000 0.000 0.598 1
Na4 Na 0.000 0.000 0.796 1
Pb1 Pb 0.500 0.500 0.000 1
Pb2 Pb 0.500 0.500 0.206 1
Pb3 Pb 0.500 0.500 0.402 1
Pb4 Pb 0.500 0.500 0.598 1
Pb5 Pb 0.500 0.500 0.794 1
Pb6 Pb 0.500 0.000 0.109 1
Pb7 Pb 0.500 0.000 0.303 1
Pb8 Pb 0.500 0.000 0.500 1
Pb9 Pb 0.500 0.000 0.697 1
Pb10 Pb 0.500 0.000 0.891 1
Pb11 Pb 0.000 0.500 0.109 1
Pb12 Pb 0.000 0.500 0.303 1
Pb13 Pb 0.000 0.500 0.500 1
Pb14 Pb 0.000 0.500 0.697 1
Pb15 Pb 0.000 0.500 0.891 1
```

## Sr2Sc2Cd (PBE)

Data for a relaxed structure of Sr2Sc2Cd.

Formation energy from the elements, eV/f.u.: 1.01
Symmetry: No. 127

Geometry as CIF:
```
data_Sr2Sc2Cd
_chemical_formula_sum 'Sr4 Sc4 Cd2'
_space_group_name_H-M_alt 'P 1'
_space_group_IT_number 1
_space_group_name_Hall 'P 1'
_cell_length_a 7.716
_cell_length_b 7.716
_cell_length_c 5.747
_cell_angle_alpha 90.00
_cell_angle_beta 90.00
_cell_angle_gamma 90.00
loop_
_atom_site_label
_atom_site_type_symbol
_atom_site_fract_x
_atom_site_fract_y
_atom_site_fract_z
_atom_site_occupancy
Sc1 Sc 0.357 0.857 0.000 1
Sc2 Sc 0.857 0.643 0.000 1
Sc3 Sc 0.643 0.143 0.000 1
Sc4 Sc 0.143 0.357 0.000 1
Sr1 Sr 0.173 0.673 0.500 1
Sr2 Sr 0.673 0.827 0.500 1
Sr3 Sr 0.827 0.327 0.500 1
Sr4 Sr 0.327 0.173 0.500 1
Cd1 Cd 0.000 0.000 0.000 1
Cd2 Cd 0.500 0.500 0.000 1
```

## Pr4NdSm15 (PBE)

Data for a relaxed structure of Pr4NdSm15.

Formation energy from the elements, eV/f.u.: 0.30
Symmetry: No. 123

Geometry as CIF:
```
data_Pr4NdSm15
_chemical_formula_sum 'Pr4 Nd1 Sm15'
_space_group_name_H-M_alt 'P 1'
_space_group_IT_number 1
_space_group_name_Hall 'P 1'
_cell_length_a 5.163
_cell_length_b 5.163
_cell_length_c 25.767
_cell_angle_alpha 90.00
_cell_angle_beta 90.00
_cell_angle_gamma 90.00
loop_
_atom_site_label
_atom_site_type_symbol
_atom_site_fract_x
_atom_site_fract_y
_atom_site_fract_z
_atom_site_occupancy
Pr1 Pr 0.000 0.000 0.200 1
Pr2 Pr 0.000 0.000 0.400 1
Pr3 Pr 0.000 0.000 0.600 1
Pr4 Pr 0.000 0.000 0.800 1
Nd1 Nd 0.000 0.000 0.000 1
Sm1 Sm 0.500 0.500 0.000 1
Sm2 Sm 0.500 0.500 0.200 1
Sm3 Sm 0.500 0.500 0.400 1
Sm4 Sm 0.500 0.500 0.600 1
Sm5 Sm 0.500 0.500 0.800 1
Sm6 Sm 0.500 0.000 0.100 1
Sm7 Sm 0.500 0.000 0.300 1
Sm8 Sm 0.500 0.000 0.500 1
Sm9 Sm 0.500 0.000 0.700 1
Sm10 Sm 0.500 0.000 0.900 1
Sm11 Sm 0.000 0.500 0.100 1
Sm12 Sm 0.000 0.500 0.300 1
Sm13 Sm 0.000 0.500 0.500 1
Sm14 Sm 0.000 0.500 0.700 1
Sm15 Sm 0.000 0.500 0.900 1
```

## CsLiSbI6 (PBE)

Data for a relaxed structure of CsLiSbI6.

Symmetry: No. 149
Formation energy without anion corrections, meV/atom: -697

Geometry as CIF:
```
data_CsLiSbI6
_chemical_formula_sum 'Cs1 Li1 Sb1 I6'
_space_group_name_H-M_alt 'P 1'
_space_group_IT_number 1
_space_group_name_Hall 'P 1'
_cell_length_a 7.683
_cell_length_b 7.683
_cell_length_c 8.795
_cell_angle_alpha 90.00
_cell_angle_beta 90.00
_cell_angle_gamma 60.00
loop_
_atom_site_label
_atom_site_type_symbol
_atom_site_fract_x
_atom_site_fract_y
_atom_site_fract_z
_atom_site_occupancy
Cs1 Cs 0.000 0.000 0.000 1
Li1 Li 0.667 0.667 0.500 1
Sb1 Sb 0.333 0.333 0.500 1
I1 I 0.000 0.372 0.305 1
I2 I 0.372 0.000 0.695 1
I3 I 0.629 0.372 0.695 1
I4 I 0.999 0.629 0.695 1
I5 I 0.372 0.629 0.305 1
I6 I 0.629 0.999 0.305 1
```

## K2LaW2 (PBE)

Data for a relaxed structure of K2LaW2.

Relative energy among the computed polymorphs, meV per atom: 415
Formation energy from the elements, eV/f.u.: 7.66
Symmetry: No. 127

Geometry as CIF:
```
data_K2LaW2
_chemical_formula_sum 'K4 La2 W4'
_space_group_name_H-M_alt 'P 1'
_space_group_IT_number 1
_space_group_name_Hall 'P 1'
_cell_length_a 10.199
_cell_length_b 10.199
_cell_length_c 2.823
_cell_angle_alpha 90.00
_cell_angle_beta 90.00
_cell_angle_gamma 90.00
loop_
_atom_site_label
_atom_site_type_symbol
_atom_site_fract_x
_atom_site_fract_y
_atom_site_fract_z
_atom_site_occupancy
K1 K 0.295 0.795 0.000 1
K2 K 0.795 0.705 0.000 1
K3 K 0.705 0.205 0.000 1
K4 K 0.205 0.295 0.000 1
W1 W 0.081 0.581 0.500 1
W2 W 0.581 0.919 0.500 1
W3 W 0.919 0.419 0.500 1
W4 W 0.419 0.081 0.500 1
La1 La 0.000 0.000 0.000 1
La2 La 0.500 0.500 0.000 1
```

## NbSbS2 (PBE)

Data for a relaxed structure of NbSbS2.

Symmetry: No. 166
Formation energy without anion corrections, meV/atom: -667

Geometry as CIF:
```
data_NbSbS2
_chemical_formula_sum 'Nb1 Sb1 S2'
_space_group_name_H-M_alt 'P 1'
_space_group_IT_number 1
_space_group_name_Hall 'P 1'
_cell_length_a 8.974
_cell_length_b 8.974
_cell_length_c 8.974
_cell_angle_alpha 21.57
_cell_angle_beta 21.57
_cell_angle_gamma 21.57
loop_
_atom_site_label
_atom_site_type_symbol
_atom_site_fract_x
_atom_site_fract_y
_atom_site_fract_z
_atom_site_occupancy
Sb1 Sb 0.000 0.000 0.000 1
Nb1 Nb 0.500 0.500 0.500 1
S1 S 0.894 0.894 0.894 1
S2 S 0.106 0.106 0.106 1
```